Record 1
Compound: Ba2SrTeO6
Source: Alexandria
Functional: PBE
Structure: relaxed

Lattice parameters (Å, degrees): 6.118 6.118 6.118 60.75 60.75 60.75
Fractional coordinates of all 10 atoms:
Ba 0.248 0.248 0.248
Ba 0.752 0.752 0.752
Sr 0.500 0.500 0.500
Te 0.000 0.000 0.000
O 0.173 0.273 0.782
O 0.218 0.827 0.727
O 0.273 0.782 0.173
O 0.727 0.218 0.827
O 0.782 0.173 0.273
O 0.827 0.727 0.218

Results
- M_tot: 0.00 μB per cell
- E_tot: -6.15 eV per atom
- Density of states at the Fermi level: 0.0000 states/eV per atom
- Calculated volume: 164.6 Å³/cell
- Formation energy without anion corrections: -2311 meV/atom


Record 2
Compound: K2CuNi
Source: Alexandria
Functional: PBE
Structure: relaxed

Lattice parameters (Å, degrees): 4.413 5.150 10.729 90.00 90.00 90.00
Fractional coordinates of all 8 atoms:
K 0.000 0.000 0.000
K 0.000 0.500 0.500
K 0.500 0.000 0.302
K 0.500 0.500 0.802
Cu 0.500 0.000 0.618
Cu 0.500 0.500 0.118
Ni 0.000 0.000 0.679
Ni 0.000 0.500 0.179

Results
- M_tot: 0.22 μB per cell
- E_tot: -2.56 eV per atom
- Density of states at the Fermi level: 1.4204 states/eV per atom
- Calculated volume: 243.9 Å³/cell


Record 3
Compound: V2HgCl
Source: Alexandria
Functional: PBE
Structure: relaxed

Lattice parameters (Å, degrees): 6.382 6.382 6.382 90.00 90.00 90.00
Fractional coordinates of all 16 atoms:
V 0.250 0.250 0.250
V 0.250 0.250 0.750
V 0.250 0.750 0.250
V 0.250 0.750 0.750
V 0.750 0.250 0.250
V 0.750 0.250 0.750
V 0.750 0.750 0.250
V 0.750 0.750 0.750
Hg 0.000 0.000 0.000
Hg 0.000 0.500 0.500
Hg 0.500 0.000 0.500
Hg 0.500 0.500 0.000
Cl 0.000 0.000 0.500
Cl 0.000 0.500 0.000
Cl 0.500 0.000 0.000
Cl 0.500 0.500 0.500

Results
- M_tot: 0.05 μB per cell
- E_tot: -4.43 eV per atom
- Density of states at the Fermi level: 1.5984 states/eV per atom
- Calculated volume: 259.9 Å³/cell
- Formation energy without anion corrections: 663 meV/atom


Record 4
Compound: Tb4Ge8Rh
Source: Alexandria
Functional: PBE
Structure: relaxed

Lattice parameters (Å, degrees): 4.038 4.150 16.276 90.00 90.00 90.00
Fractional coordinates of all 13 atoms:
Tb 0.000 0.000 0.000
Tb 0.000 0.500 0.489
Tb 0.500 0.000 0.790
Tb 0.500 0.500 0.286
Ge 0.000 0.000 0.333
Ge 0.000 0.000 0.623
Ge 0.000 0.500 0.140
Ge 0.000 0.500 0.855
Ge 0.500 0.000 0.145
Ge 0.500 0.000 0.437
Ge 0.500 0.500 0.622
Ge 0.500 0.500 0.955
Rh 0.000 0.500 0.706

Results
- M_tot: 0.00 μB per cell
- E_tot: -5.50 eV per atom
- Density of states at the Fermi level: 0.3963 states/eV per atom
- Calculated volume: 272.7 Å³/cell


Number 4 is which compound? Tb4Ge8Rh